1.
DFT (SCAN) results for RbLaAs3 at its PBEsol-relaxed geometry.

Properties
- Total magnetization: 0.00 μB per formula unit
- Energy: -124.50 eV per cell
- D(E_F): 0.789 states/eV per atom
- Energy relative to the elements: -0.0162 eV/atom

a = 5.662 Å, b = 5.662 Å, c = 5.662 Å
α = 90.00°, β = 90.00°, γ = 90.00°
Sites, in units of the cell vectors:
As1 0.000 0.500 0.000
As2 0.000 0.000 0.500
As3 0.500 0.000 0.000
Rb1 0.500 0.500 0.500
La1 0.000 0.000 0.000

2.
DFT (SCAN) results for LaReAsW2 at its PBEsol-relaxed geometry.

Properties
- Total magnetization: 1.35 μB per formula unit
- Energy: -264.97 eV per cell
- D(E_F): 1.061 states/eV per atom
- Energy relative to the elements: 1.7591 eV/atom

a = 4.550 Å, b = 4.550 Å, c = 5.282 Å
α = 90.00°, β = 90.00°, γ = 90.00°
Last column: magnetic moment on the atom in μB.
Sites, in units of the cell vectors:
Re1 0.500 0.500 0.500  1.29
As1 0.000 0.000 0.000  0.01
W1 0.000 0.500 0.000  -0.10
W2 0.500 0.000 0.000  -0.10
La1 0.000 0.000 0.500  -0.01